1.
Below is LiSmMgSn after structural relaxation, with properties calculated at the PBE-GGA level.

```
data_LiSmMgSn
_symmetry_space_group_name_H-M 'P 1'
_symmetry_Int_Tables_number 1
_symmetry_space_group_name_Hall 'P 1'
_cell_length_a 5.1234
_cell_length_b 5.1234
_cell_length_c 5.1234
_cell_angle_alpha 60.00
_cell_angle_beta 60.00
_cell_angle_gamma 60.00
loop_
_atom_site_label
_atom_site_type_symbol
_atom_site_fract_x
_atom_site_fract_y
_atom_site_fract_z
Li1 Li 0.0000 0.0000 0.0000
Sm1 Sm 0.2500 0.2500 0.2500
Mg1 Mg 0.7500 0.7500 0.7500
Sn1 Sn 0.5000 0.5000 0.5000
```

Summary:
Energy relative to the elements in eV per atom: -0.32
SG: F-43m, No. 216
Volume in Å³/atom: 23.8


2.
Below is SrLiSmMg after structural relaxation, with properties calculated at the PBE-GGA level.

```
data_SrLiSmMg
_symmetry_space_group_name_H-M 'P 1'
_symmetry_Int_Tables_number 1
_symmetry_space_group_name_Hall 'P 1'
_cell_length_a 5.6581
_cell_length_b 5.6581
_cell_length_c 5.6581
_cell_angle_alpha 60.00
_cell_angle_beta 60.00
_cell_angle_gamma 60.00
loop_
_atom_site_label
_atom_site_type_symbol
_atom_site_fract_x
_atom_site_fract_y
_atom_site_fract_z
Sr1 Sr 0.0000 0.0000 0.0000
Li1 Li 0.2500 0.2500 0.2500
Sm1 Sm 0.5000 0.5000 0.5000
Mg1 Mg 0.7500 0.7500 0.7500
```

Summary:
Energy relative to the elements in eV per atom: 0.07
SG: F-43m, No. 216
Volume in Å³/atom: 32.0


3.
Below is LiTbSmMg after structural relaxation, with properties calculated at the PBE-GGA level.

```
data_LiTbSmMg
_symmetry_space_group_name_H-M 'P 1'
_symmetry_Int_Tables_number 1
_symmetry_space_group_name_Hall 'P 1'
_cell_length_a 5.3691
_cell_length_b 5.3691
_cell_length_c 5.3691
_cell_angle_alpha 60.00
_cell_angle_beta 60.00
_cell_angle_gamma 60.00
loop_
_atom_site_label
_atom_site_type_symbol
_atom_site_fract_x
_atom_site_fract_y
_atom_site_fract_z
Li1 Li 0.0000 0.0000 0.0000
Tb1 Tb 0.2500 0.2500 0.2500
Sm1 Sm 0.7500 0.7500 0.7500
Mg1 Mg 0.5000 0.5000 0.5000
```

Summary:
Energy relative to the elements in eV per atom: 0.03
SG: F-43m, No. 216
Volume in Å³/atom: 27.4


4.
Below is Li2TbSm2Mg5 after structural relaxation, with properties calculated at the PBE-GGA level.

```
data_Li2TbSm2Mg5
_symmetry_space_group_name_H-M 'P 1'
_symmetry_Int_Tables_number 1
_symmetry_space_group_name_Hall 'P 1'
_cell_length_a 10.6795
_cell_length_b 10.6795
_cell_length_c 4.4269
_cell_angle_alpha 90.00
_cell_angle_beta 90.00
_cell_angle_gamma 90.00
loop_
_atom_site_label
_atom_site_type_symbol
_atom_site_fract_x
_atom_site_fract_y
_atom_site_fract_z
Li1 Li 0.1142 0.3858 0.0000
Li2 Li 0.3858 0.8858 0.0000
Li3 Li 0.6142 0.1142 0.0000
Li4 Li 0.8858 0.6142 0.0000
Tb1 Tb 0.0000 0.0000 0.0000
Tb2 Tb 0.5000 0.5000 0.0000
Sm1 Sm 0.1806 0.6806 0.0000
Sm2 Sm 0.3194 0.1806 0.0000
Sm3 Sm 0.6806 0.8194 0.0000
Sm4 Sm 0.8194 0.3194 0.0000
Mg1 Mg 0.0000 0.5000 0.5000
Mg2 Mg 0.0614 0.2146 0.5000
Mg3 Mg 0.2146 0.9386 0.5000
Mg4 Mg 0.2854 0.4386 0.5000
Mg5 Mg 0.4386 0.7146 0.5000
Mg6 Mg 0.5000 0.0000 0.5000
Mg7 Mg 0.5614 0.2854 0.5000
Mg8 Mg 0.7146 0.5614 0.5000
Mg9 Mg 0.7854 0.0614 0.5000
Mg10 Mg 0.9386 0.7854 0.5000
```

Summary:
Energy relative to the elements in eV per atom: -0.04
SG: P4/mbm, No. 127
Volume in Å³/atom: 25.2


5.
Below is LiSm2MgTe4 after structural relaxation, with properties calculated at the PBE-GGA level.

```
data_LiSm2MgTe4
_symmetry_space_group_name_H-M 'P 1'
_symmetry_Int_Tables_number 1
_symmetry_space_group_name_Hall 'P 1'
_cell_length_a 7.4679
_cell_length_b 4.3187
_cell_length_c 7.6351
_cell_angle_alpha 90.00
_cell_angle_beta 108.73
_cell_angle_gamma 90.00
loop_
_atom_site_label
_atom_site_type_symbol
_atom_site_fract_x
_atom_site_fract_y
_atom_site_fract_z
Li1 Li 0.0000 0.0000 0.0000
Sm1 Sm 0.0000 0.5000 0.5000
Sm2 Sm 0.5000 0.0000 0.5000
Mg1 Mg 0.5000 0.5000 0.0000
Te1 Te 0.2469 0.5000 0.2334
Te2 Te 0.2563 0.0000 0.7693
Te3 Te 0.7437 0.0000 0.2307
Te4 Te 0.7531 0.5000 0.7666
```

Summary:
SG: P2/m, No. 10
Formation energy (no corrections) in meV per atom: -1184
Volume in Å³/atom: 29.2


6.
Below is LiSmThMg after structural relaxation, with properties calculated at the PBE-GGA level.

```
data_LiSmThMg
_symmetry_space_group_name_H-M 'P 1'
_symmetry_Int_Tables_number 1
_symmetry_space_group_name_Hall 'P 1'
_cell_length_a 5.3757
_cell_length_b 5.3757
_cell_length_c 5.3757
_cell_angle_alpha 60.00
_cell_angle_beta 60.00
_cell_angle_gamma 60.00
loop_
_atom_site_label
_atom_site_type_symbol
_atom_site_fract_x
_atom_site_fract_y
_atom_site_fract_z
Li1 Li 0.0000 0.0000 0.0000
Sm1 Sm 0.7500 0.7500 0.7500
Th1 Th 0.2500 0.2500 0.2500
Mg1 Mg 0.5000 0.5000 0.5000
```

Summary:
Energy relative to the elements in eV per atom: 0.13
SG: F-43m, No. 216
Volume in Å³/atom: 27.5


7.
Below is LiSmMgTl after structural relaxation, with properties calculated at the PBE-GGA level.

```
data_LiSmMgTl
_symmetry_space_group_name_H-M 'P 1'
_symmetry_Int_Tables_number 1
_symmetry_space_group_name_Hall 'P 1'
_cell_length_a 5.1375
_cell_length_b 5.1375
_cell_length_c 5.1375
_cell_angle_alpha 119.86
_cell_angle_beta 119.86
_cell_angle_gamma 90.25
loop_
_atom_site_label
_atom_site_type_symbol
_atom_site_fract_x
_atom_site_fract_y
_atom_site_fract_z
Li1 Li 0.0000 0.0000 0.0000
Sm1 Sm 0.2500 0.7500 0.5000
Mg1 Mg 0.7500 0.2500 0.5000
Tl1 Tl 0.5000 0.5000 0.0000
```

Summary:
Energy relative to the elements in eV per atom: -0.23
SG: I-4m2, No. 119
Polymorph energy (0 for the lowest one) in eV/f.u.: 0.00
Volume in Å³/atom: 24.0


8.
Below is LiSmMgTl2 after structural relaxation, with properties calculated at the PBE-GGA level.

```
data_LiSmMgTl2
_symmetry_space_group_name_H-M 'P 1'
_symmetry_Int_Tables_number 1
_symmetry_space_group_name_Hall 'P 1'
_cell_length_a 5.6485
_cell_length_b 6.6982
_cell_length_c 6.5554
_cell_angle_alpha 90.00
_cell_angle_beta 90.00
_cell_angle_gamma 90.00
loop_
_atom_site_label
_atom_site_type_symbol
_atom_site_fract_x
_atom_site_fract_y
_atom_site_fract_z
Li1 Li 0.0000 0.0000 0.0000
Li2 Li 0.5000 0.0000 0.0000
Sm1 Sm 0.2500 0.5000 0.2240
Sm2 Sm 0.7500 0.5000 0.7760
Mg1 Mg 0.2500 0.0000 0.3699
Mg2 Mg 0.7500 0.0000 0.6301
Tl1 Tl 0.2500 0.2619 0.7324
Tl2 Tl 0.2500 0.7381 0.7324
Tl3 Tl 0.7500 0.2619 0.2676
Tl4 Tl 0.7500 0.7381 0.2676
```

Summary:
Energy relative to the elements in eV per atom: -0.17
SG: Pmma, No. 51
Volume in Å³/atom: 24.8